1.
Crystalline AlCu3Rh at its relaxed geometry, computed with PBE.

Structure (POSCAR):
```
AlCu3Rh
1.0
4.6182 0.0000 0.0000
0.0000 4.6182 0.0000
0.0000 0.0000 4.6182
Al Cu Rh
1 3 1
Direct
0.0000 0.0000 0.0000 Al
0.0000 0.5000 0.5000 Cu
0.5000 0.0000 0.5000 Cu
0.5000 0.5000 0.0000 Cu
0.5000 0.5000 0.5000 Rh
```

Results
The calculation puts the formation energy at 4.917 eV per formula unit. The energy above the most stable polymorph in this dataset is 0.123 eV per atom. The calculation puts the density at 5.404 g/cm3. The total energy is -3.693 eV/atom.

=====

2.
Crystalline Pr2NdSb2Te2 at its relaxed geometry, computed with PBE.

Structure (POSCAR):
```
Pr2NdSb2Te2
1.0
-2.9409 2.9409 7.8867
2.9409 -2.9409 7.8867
2.9409 2.9409 -7.8867
Pr Nd Sb Te
2 1 2 2
Direct
0.1136 0.1136 0.0000 Pr
0.8864 0.8864 0.0000 Pr
0.5000 0.5000 0.0000 Nd
0.0000 0.5000 0.5000 Sb
0.5000 0.0000 0.5000 Sb
0.3037 0.3037 0.0000 Te
0.6963 0.6963 0.0000 Te
```

Results
The calculation puts the density at 5.628 g/cm3. The total energy is -4.869 eV/atom. The calculation puts the formation energy without anion corrections at -0.7466 eV per atom.

=====

3.
Crystalline NbBrO3 at its relaxed geometry, computed with PBE.

Structure (POSCAR):
```
NbBrO3
1.0
4.0421 0.0000 0.0000
0.0000 4.0421 0.0000
0.0000 0.0000 4.0421
Nb Br O
1 1 3
Direct
0.0000 0.0000 0.0000 Nb
0.5000 0.5000 0.5000 Br
0.0000 0.0000 0.5000 O
0.0000 0.5000 0.0000 O
0.5000 0.0000 0.0000 O
```

Results
The calculation puts the density at 5.552 g/cm3. The total energy is -6.548 eV/atom. The calculation puts the formation energy without anion corrections at -1.2246 eV per atom.

=====

4.
Crystalline Nb3Cu5H12 at its relaxed geometry, computed with PBE.

Structure (POSCAR):
```
Nb3Cu5H12
1.0
-5.4196 5.4196 5.4196
5.4196 -5.4196 5.4196
5.4196 5.4196 -5.4196
Nb Cu H
12 20 48
Direct
0.1250 0.2500 0.3750 Nb
0.1250 0.3750 0.7500 Nb
0.2500 0.3750 0.1250 Nb
0.2500 0.8750 0.6250 Nb
0.3750 0.1250 0.2500 Nb
0.3750 0.7500 0.1250 Nb
0.6250 0.2500 0.8750 Nb
0.6250 0.8750 0.7500 Nb
0.7500 0.1250 0.3750 Nb
0.7500 0.6250 0.8750 Nb
0.8750 0.6250 0.2500 Nb
0.8750 0.7500 0.6250 Nb
0.0000 0.0000 0.0000 Cu
0.0000 0.0000 0.5000 Cu
0.0000 0.5000 0.0000 Cu
0.0000 0.5000 0.5000 Cu
0.1250 0.7500 0.8750 Cu
0.1250 0.8750 0.2500 Cu
0.2500 0.1250 0.8750 Cu
0.2500 0.6250 0.3750 Cu
0.3750 0.2500 0.6250 Cu
0.3750 0.6250 0.7500 Cu
0.5000 0.0000 0.0000 Cu
0.5000 0.0000 0.5000 Cu
0.5000 0.5000 0.0000 Cu
0.5000 0.5000 0.5000 Cu
0.6250 0.3750 0.2500 Cu
0.6250 0.7500 0.3750 Cu
0.7500 0.3750 0.6250 Cu
0.7500 0.8750 0.1250 Cu
0.8750 0.1250 0.7500 Cu
0.8750 0.2500 0.1250 Cu
0.0484 0.2233 0.1362 H
0.0484 0.3251 0.9123 H
0.0871 0.7233 0.6749 H
0.0871 0.8638 0.4123 H
0.0877 0.6362 0.4129 H
0.0877 0.9516 0.6749 H
0.1362 0.0484 0.2233 H
0.1362 0.5877 0.9129 H
0.1749 0.2233 0.5871 H
0.1749 0.4516 0.5877 H
0.2233 0.1362 0.0484 H
0.2233 0.5871 0.1749 H
0.2767 0.3251 0.9129 H
0.2767 0.4516 0.3638 H
0.3251 0.9123 0.0484 H
0.3251 0.9129 0.2767 H
0.3638 0.2767 0.4516 H
0.3638 0.5871 0.9123 H
0.4123 0.0871 0.8638 H
0.4123 0.8251 0.5484 H
0.4129 0.0877 0.6362 H
0.4129 0.8251 0.7767 H
0.4516 0.3638 0.2767 H
0.4516 0.5877 0.1749 H
0.5484 0.4123 0.8251 H
0.5484 0.6362 0.7233 H
0.5871 0.1749 0.2233 H
0.5871 0.9123 0.3638 H
0.5877 0.1749 0.4516 H
0.5877 0.9129 0.1362 H
0.6362 0.4129 0.0877 H
0.6362 0.7233 0.5484 H
0.6749 0.0871 0.7233 H
0.6749 0.0877 0.9516 H
0.7233 0.5484 0.6362 H
0.7233 0.6749 0.0871 H
0.7767 0.4129 0.8251 H
0.7767 0.8638 0.9516 H
0.8251 0.5484 0.4123 H
0.8251 0.7767 0.4129 H
0.8638 0.4123 0.0871 H
0.8638 0.9516 0.7767 H
0.9123 0.0484 0.3251 H
0.9123 0.3638 0.5871 H
0.9129 0.1362 0.5877 H
0.9129 0.2767 0.3251 H
0.9516 0.6749 0.0877 H
0.9516 0.7767 0.8638 H
```

Results
The calculation puts the density at 6.348 g/cm3. The total energy is -4.473 eV/atom.